[1]
NbTeSe after structural relaxation, computed with PBE.

Cell: 3.3615 3.6296 13.1576 Å, 90.00 90.00 90.00°
Last column: nearest neighbours and their distance in Å.
Space group Pmn2_1 (No. 31)
Asymmetric unit:
Nb (0.0000, 0.0024, 0.0000) (multiplicity 2)  2 Se 2.53
Te (0.0000, 0.4975, 0.6127) (multiplicity 2)  4 Nb 2.88
Se (0.0000, 0.9982, 0.3565) (multiplicity 2)  2 Nb 2.53

**Size of the total moment**: 0.0 μB/f.u.
**Polymorph energy (0 for the lowest one)**: 221 meV/atom
**Total DFT energy (no corrections)**: -5.9663 eV/atom
**Calculated density**: 6.2 g cm⁻³
**Uncorrected formation energy**: -401 meV per atom
**DOS(E_F)**: 4.28 states/eV per cell

[2]
NbTeSe after structural relaxation, computed with PBE.

Cell: 3.5804 3.5804 6.8499 Å, 90.00 90.00 120.00°
Last column: nearest neighbours and their distance in Å.
Space group P3m1 (No. 156)
Asymmetric unit:
Nb (0.0000, 0.0000, 0.0000) (multiplicity 1)  3 Se 2.62, 3 Te 2.82
Te (0.3333, 0.6667, 0.7202) (multiplicity 1)  3 Nb 2.82
Se (0.6667, 0.3333, 0.2355) (multiplicity 1)  3 Nb 2.62

**Size of the total moment**: 0.0 μB/f.u.
**Polymorph energy (0 for the lowest one)**: 0 meV/atom
**Total DFT energy (no corrections)**: -6.1869 eV/atom
**Calculated density**: 6.5 g cm⁻³
**Uncorrected formation energy**: -622 meV per atom
**DOS(E_F)**: 2.35 states/eV per cell

[3]
Nb2TeSe after structural relaxation, computed with PBE.

Cell: 6.6850 6.6850 6.6850 Å, 90.00 90.00 90.00°
Last column: nearest neighbours and their distance in Å.
Space group Fm-3m (No. 225)
Asymmetric unit:
Nb (0.2500, 0.2500, 0.2500) (multiplicity 8)  4 Se 2.89, 4 Te 2.89
Te (0.0000, 0.0000, 0.0000) (multiplicity 4)  8 Nb 2.89
Se (0.0000, 0.0000, 0.5000) (multiplicity 4)  8 Nb 2.89

**Size of the total moment**: 0.0 μB/f.u.
**Polymorph energy (0 for the lowest one)**: 181 meV/atom
**Total DFT energy (no corrections)**: -6.8696 eV/atom
**Calculated density**: 8.7 g cm⁻³
**Uncorrected formation energy**: -178 meV per atom
**DOS(E_F)**: 19.73 states/eV per cell

[4]
Nb4Te2Se3 after structural relaxation, computed with PBE.

Cell: 10.9094 16.1848 5.4573 Å, 90.00 104.19 90.00°
Last column: nearest neighbours and their distance in Å.
Space group C2/c (No. 15)
Asymmetric unit:
Nb (0.0981, 0.0641, 0.0615) (multiplicity 8)  4 Se 2.64-2.84, 1 Te 2.81, 1 Nb 2.94
Nb (0.1667, 0.4986, 0.0800) (multiplicity 8)  4 Se 2.68-2.89, 2 Nb 2.73, 2 Te 2.86
Te (0.1755, 0.3448, 0.8280) (multiplicity 8)  3 Nb 2.81-2.86
Se (0.0000, 0.4074, 0.2500) (multiplicity 4)  4 Nb 2.68-2.69
Se (0.1466, 0.0965, 0.5832) (multiplicity 8)  6 Nb 2.64-2.89

**Size of the total moment**: 0.0 μB/f.u.
**Total DFT energy (no corrections)**: -6.7908 eV/atom
**Calculated density**: 6.1 g cm⁻³
**Uncorrected formation energy**: -456 meV per atom
**DOS(E_F)**: 16.06 states/eV per cell

[5]
NbTe2Se after structural relaxation, computed with PBE.

Cell: 3.6832 3.6832 27.5404 Å, 90.00 90.00 120.00°
Last column: nearest neighbours and their distance in Å.
Space group R-3m (No. 166, hexagonal axes)
Asymmetric unit:
Nb (0.0000, 0.0000, 0.0000) (multiplicity 3)  6 Te 2.81
Te (0.0000, 0.0000, 0.4002) (multiplicity 6)  1 Se 2.75, 3 Nb 2.81
Se (0.0000, 0.0000, 0.5000) (multiplicity 3)  2 Te 2.75

**Size of the total moment**: 0.0 μB/f.u.
**Total DFT energy (no corrections)**: -5.0346 eV/atom
**Calculated density**: 6.6 g cm⁻³
**Uncorrected formation energy**: -75 meV per atom
**DOS(E_F)**: 12.37 states/eV per cell

[6]
Nb3Te2Se2 after structural relaxation, computed with PBE.

Cell: 12.1489 3.4959 7.5222 Å, 90.00 98.11 90.00°
Last column: nearest neighbours and their distance in Å.
Space group C2/m (No. 12)
Asymmetric unit:
Nb (0.0000, 0.0000, 0.0000) (multiplicity 2)  4 Se 2.72, 2 Te 2.91
Nb (0.2258, 0.5000, 0.1411) (multiplicity 4)  3 Se 2.66-2.71, 2 Te 2.80, 2 Nb 2.87
Te (0.1248, 0.0000, 0.3597) (multiplicity 4)  3 Nb 2.80-2.91
Se (0.1077, 0.5000, 0.8081) (multiplicity 4)  5 Nb 2.66-2.72

**Size of the total moment**: 0.0 μB/f.u.
**Total DFT energy (no corrections)**: -6.7248 eV/atom
**Calculated density**: 7.3 g cm⁻³
**Uncorrected formation energy**: -516 meV per atom
**DOS(E_F)**: 5.49 states/eV per cell

> What is the uncorrected formation energy in the first record?

-401 meV per atom

> Which formula does entry 5 have?

NbTe2Se

> Among the records above, which one has the highest calculated density?

Nb2TeSe